i) VASP calculation (GGA-PBE) on an optimized crystal structure of Ho2TeAu.

```
data_Ho2TeAu
_cell_length_a 3.7959
_cell_length_b 3.7959
_cell_length_c 6.9480
_cell_angle_alpha 90.00
_cell_angle_beta 90.00
_cell_angle_gamma 90.00
_symmetry_space_group_name_H-M 'P 4/m m m'
_symmetry_Int_Tables_number 123
_symmetry_space_group_name_Hall '-P 4 2'
loop_
_atom_site_label
_atom_site_fract_x
_atom_site_fract_y
_atom_site_fract_z
_atom_site_occupancy
Ho1 0.0000 0.0000 0.2393 1
Te1 0.5000 0.5000 0.5000 1
Au1 0.5000 0.5000 0.0000 1
```

ii) VASP calculation (GGA-PBE) on an optimized crystal structure of Ho2TeAu.

```
data_Ho2TeAu
_cell_length_a 4.1298
_cell_length_b 4.1298
_cell_length_c 22.4424
_cell_angle_alpha 90.00
_cell_angle_beta 90.00
_cell_angle_gamma 120.00
_symmetry_space_group_name_H-M 'R -3 m'
_symmetry_Int_Tables_number 166
_symmetry_space_group_name_Hall '-R 3 2"'
loop_
_atom_site_label
_atom_site_fract_x
_atom_site_fract_y
_atom_site_fract_z
_atom_site_occupancy
Ho1 0.0000 0.0000 0.2427 1
Te1 0.0000 0.0000 0.0000 1
Au1 0.0000 0.0000 0.5000 1
```

iii) VASP calculation (GGA-PBE) on an optimized crystal structure of Ho2TeAu.

```
data_Ho2TeAu
_cell_length_a 4.1355
_cell_length_b 4.1355
_cell_length_c 22.5495
_cell_angle_alpha 90.00
_cell_angle_beta 90.00
_cell_angle_gamma 120.00
_symmetry_space_group_name_H-M 'R 3 m'
_symmetry_Int_Tables_number 160
_symmetry_space_group_name_Hall 'R 3 -2"'
loop_
_atom_site_label
_atom_site_fract_x
_atom_site_fract_y
_atom_site_fract_z
_atom_site_occupancy
Ho1 0.0000 0.0000 0.0000 1
Ho2 0.0000 0.0000 0.1836 1
Te1 0.0000 0.0000 0.4238 1
Au1 0.0000 0.0000 0.5928 1
```

iv) VASP calculation (GGA-PBE) on an optimized crystal structure of Ho2TeAu.

```
data_Ho2TeAu
_cell_length_a 4.0350
_cell_length_b 23.5252
_cell_length_c 4.4685
_cell_angle_alpha 90.00
_cell_angle_beta 90.00
_cell_angle_gamma 90.00
_symmetry_space_group_name_H-M 'C m c m'
_symmetry_Int_Tables_number 63
_symmetry_space_group_name_Hall '-C 2c 2'
loop_
_atom_site_label
_atom_site_fract_x
_atom_site_fract_y
_atom_site_fract_z
_atom_site_occupancy
Ho1 0.0000 0.0608 0.2500 1
Ho2 0.0000 0.3321 0.2500 1
Te1 0.0000 0.1951 0.2500 1
Au1 0.0000 0.4565 0.2500 1
```

Which one sits at the bottom of the stability order? i) does.

i) VASP calculation (GGA-PBE) on an optimized crystal structure of Ho4TeAu.

```
data_Ho4TeAu
_cell_length_a 8.3597
_cell_length_b 3.9271
_cell_length_c 19.6700
_cell_angle_alpha 90.00
_cell_angle_beta 90.00
_cell_angle_gamma 90.00
_symmetry_space_group_name_H-M 'P n m a'
_symmetry_Int_Tables_number 62
_symmetry_space_group_name_Hall '-P 2ac 2n'
loop_
_atom_site_label
_atom_site_fract_x
_atom_site_fract_y
_atom_site_fract_z
_atom_site_occupancy
Ho1 0.0168 0.2500 0.2175 1
Ho2 0.0219 0.2500 0.9281 1
Ho3 0.1197 0.2500 0.4406 1
Ho4 0.1608 0.2500 0.6538 1
Te1 0.2168 0.7500 0.3129 1
Au1 0.2453 0.2500 0.0491 1
```

ii) VASP calculation (GGA-PBE) on an optimized crystal structure of Ho4TeAu.

```
data_Ho4TeAu
_cell_length_a 6.6424
_cell_length_b 6.7628
_cell_length_c 7.7814
_cell_angle_alpha 90.00
_cell_angle_beta 93.17
_cell_angle_gamma 90.00
_symmetry_space_group_name_H-M 'P 1 21/m 1'
_symmetry_Int_Tables_number 11
_symmetry_space_group_name_Hall '-P 2yb'
loop_
_atom_site_label
_atom_site_fract_x
_atom_site_fract_y
_atom_site_fract_z
_atom_site_occupancy
Ho1 0.0894 0.2500 0.3828 1
Ho2 0.0940 0.7500 0.0884 1
Ho3 0.3830 0.0007 0.7808 1
Te1 0.3286 0.7500 0.4422 1
Au1 0.3036 0.2500 0.0692 1
```

Which one sits at the bottom of the stability order? ii) does.

i) VASP calculation (GGA-PBE) on an optimized crystal structure of HoThAu.

```
data_HoThAu
_cell_length_a 4.9687
_cell_length_b 4.9687
_cell_length_c 3.8924
_cell_angle_alpha 90.00
_cell_angle_beta 90.00
_cell_angle_gamma 120.00
_symmetry_space_group_name_H-M 'P 3 m 1'
_symmetry_Int_Tables_number 156
_symmetry_space_group_name_Hall 'P 3 -2"'
loop_
_atom_site_label
_atom_site_fract_x
_atom_site_fract_y
_atom_site_fract_z
_atom_site_occupancy
Ho1 0.0000 0.0000 0.0000 1
Th1 0.3333 0.6667 0.4829 1
Au1 0.6667 0.3333 0.8818 1
```

ii) VASP calculation (GGA-PBE) on an optimized crystal structure of HoThAu.

```
data_HoThAu
_cell_length_a 3.5905
_cell_length_b 3.5905
_cell_length_c 12.6114
_cell_angle_alpha 90.00
_cell_angle_beta 90.00
_cell_angle_gamma 90.00
_symmetry_space_group_name_H-M 'I 4 m m'
_symmetry_Int_Tables_number 107
_symmetry_space_group_name_Hall 'I 4 -2'
loop_
_atom_site_label
_atom_site_fract_x
_atom_site_fract_y
_atom_site_fract_z
_atom_site_occupancy
Ho1 0.0000 0.0000 0.0000 1
Th1 0.0000 0.0000 0.6987 1
Au1 0.0000 0.0000 0.3655 1
```

Which one sits at the bottom of the stability order? i) does.

i) VASP calculation (GGA-PBE) on an optimized crystal structure of HoThAu.

```
data_HoThAu
_cell_length_a 7.1261
_cell_length_b 7.1261
_cell_length_c 7.1261
_cell_angle_alpha 90.00
_cell_angle_beta 90.00
_cell_angle_gamma 90.00
_symmetry_space_group_name_H-M 'F -4 3 m'
_symmetry_Int_Tables_number 216
_symmetry_space_group_name_Hall 'F -4 2 3'
loop_
_atom_site_label
_atom_site_fract_x
_atom_site_fract_y
_atom_site_fract_z
_atom_site_occupancy
Ho1 0.0000 0.0000 0.0000 1
Th1 0.0000 0.0000 0.5000 1
Au1 0.2500 0.2500 0.2500 1
```

ii) VASP calculation (GGA-PBE) on an optimized crystal structure of HoThAu.

```
data_HoThAu
_cell_length_a 7.7986
_cell_length_b 4.6633
_cell_length_c 13.5844
_cell_angle_alpha 90.00
_cell_angle_beta 90.15
_cell_angle_gamma 90.00
_symmetry_space_group_name_H-M 'P 1 21/m 1'
_symmetry_Int_Tables_number 11
_symmetry_space_group_name_Hall '-P 2yb'
loop_
_atom_site_label
_atom_site_fract_x
_atom_site_fract_y
_atom_site_fract_z
_atom_site_occupancy
Ho1 0.0405 0.2500 0.0852 1
Ho2 0.1503 0.2500 0.4610 1
Ho3 0.3478 0.7500 0.7830 1
Th1 0.0044 0.7500 0.2801 1
Th2 0.3840 0.7500 0.0772 1
Th3 0.4690 0.7500 0.3925 1
Au1 0.2238 0.7500 0.5832 1
Au2 0.2302 0.2500 0.9029 1
Au3 0.2828 0.2500 0.2511 1
```

Which one sits at the bottom of the stability order? i) does.

i) VASP calculation (GGA-PBE) on an optimized crystal structure of HoThAu2.

```
data_HoThAu2
_cell_length_a 3.8837
_cell_length_b 4.6692
_cell_length_c 5.9181
_cell_angle_alpha 90.00
_cell_angle_beta 109.23
_cell_angle_gamma 90.00
_symmetry_space_group_name_H-M 'P 1 m 1'
_symmetry_Int_Tables_number 6
_symmetry_space_group_name_Hall 'P -2y'
loop_
_atom_site_label
_atom_site_fract_x
_atom_site_fract_y
_atom_site_fract_z
_atom_site_occupancy
Ho1 0.0000 0.0000 0.0000 1
Th1 0.7258 0.5000 0.4503 1
Au1 0.2722 0.0000 0.5428 1
Au2 0.4521 0.5000 0.9043 1
```

ii) VASP calculation (GGA-PBE) on an optimized crystal structure of HoThAu2.

```
data_HoThAu2
_cell_length_a 4.0070
_cell_length_b 4.0070
_cell_length_c 23.3643
_cell_angle_alpha 90.00
_cell_angle_beta 90.00
_cell_angle_gamma 120.00
_symmetry_space_group_name_H-M 'R -3 m'
_symmetry_Int_Tables_number 166
_symmetry_space_group_name_Hall '-R 3 2"'
loop_
_atom_site_label
_atom_site_fract_x
_atom_site_fract_y
_atom_site_fract_z
_atom_site_occupancy
Ho1 0.0000 0.0000 0.0000 1
Th1 0.0000 0.0000 0.5000 1
Au1 0.0000 0.0000 0.2521 1
```

Which one sits at the bottom of the stability order? ii) does.

i) VASP calculation (GGA-PBE) on an optimized crystal structure of HoThAu2.

```
data_HoThAu2
_cell_length_a 7.3286
_cell_length_b 7.3286
_cell_length_c 7.3286
_cell_angle_alpha 90.00
_cell_angle_beta 90.00
_cell_angle_gamma 90.00
_symmetry_space_group_name_H-M 'F m -3 m'
_symmetry_Int_Tables_number 225
_symmetry_space_group_name_Hall '-F 4 2 3'
loop_
_atom_site_label
_atom_site_fract_x
_atom_site_fract_y
_atom_site_fract_z
_atom_site_occupancy
Ho1 0.0000 0.0000 0.0000 1
Th1 0.0000 0.0000 0.5000 1
Au1 0.2500 0.2500 0.2500 1
```

ii) VASP calculation (GGA-PBE) on an optimized crystal structure of HoThAu2.

```
data_HoThAu2
_cell_length_a 3.5510
_cell_length_b 3.5510
_cell_length_c 7.6749
_cell_angle_alpha 90.00
_cell_angle_beta 90.00
_cell_angle_gamma 90.00
_symmetry_space_group_name_H-M 'P 4/m m m'
_symmetry_Int_Tables_number 123
_symmetry_space_group_name_Hall '-P 4 2'
loop_
_atom_site_label
_atom_site_fract_x
_atom_site_fract_y
_atom_site_fract_z
_atom_site_occupancy
Ho1 0.0000 0.0000 0.0000 1
Th1 0.0000 0.0000 0.5000 1
Au1 0.5000 0.5000 0.2268 1
```

Which one sits at the bottom of the stability order? i) does.

i) VASP calculation (GGA-PBE) on an optimized crystal structure of HoThTlAu.

```
data_HoThTlAu
_cell_length_a 7.5280
_cell_length_b 7.5280
_cell_length_c 7.5280
_cell_angle_alpha 90.00
_cell_angle_beta 90.00
_cell_angle_gamma 90.00
_symmetry_space_group_name_H-M 'F -4 3 m'
_symmetry_Int_Tables_number 216
_symmetry_space_group_name_Hall 'F -4 2 3'
loop_
_atom_site_label
_atom_site_fract_x
_atom_site_fract_y
_atom_site_fract_z
_atom_site_occupancy
Ho1 0.0000 0.0000 0.0000 1
Th1 0.0000 0.0000 0.5000 1
Tl1 0.2500 0.2500 0.2500 1
Au1 0.2500 0.2500 0.7500 1
```

ii) VASP calculation (GGA-PBE) on an optimized crystal structure of HoThTlAu.

```
data_HoThTlAu
_cell_length_a 3.5793
_cell_length_b 3.5793
_cell_length_c 8.1823
_cell_angle_alpha 90.00
_cell_angle_beta 90.00
_cell_angle_gamma 90.00
_symmetry_space_group_name_H-M 'P 4 m m'
_symmetry_Int_Tables_number 99
_symmetry_space_group_name_Hall 'P 4 -2'
loop_
_atom_site_label
_atom_site_fract_x
_atom_site_fract_y
_atom_site_fract_z
_atom_site_occupancy
Ho1 0.0000 0.0000 0.0000 1
Th1 0.0000 0.0000 0.4596 1
Tl1 0.5000 0.5000 0.7395 1
Au1 0.5000 0.5000 0.2012 1
```

Which one sits at the bottom of the stability order? i) does.

i) VASP calculation (GGA-PBE) on an optimized crystal structure of HoTm3Au2.

```
data_HoTm3Au2
_cell_length_a 6.9544
_cell_length_b 13.7469
_cell_length_c 7.1981
_cell_angle_alpha 90.00
_cell_angle_beta 90.00
_cell_angle_gamma 90.00
_symmetry_space_group_name_H-M 'I b a m'
_symmetry_Int_Tables_number 72
_symmetry_space_group_name_Hall '-I 2 2c'
loop_
_atom_site_label
_atom_site_fract_x
_atom_site_fract_y
_atom_site_fract_z
_atom_site_occupancy
Ho1 0.0000 0.0000 0.0000 1
Tm1 0.0000 0.2332 0.2500 1
Tm2 0.0000 0.5000 0.2500 1
Au1 0.2051 0.3582 0.0000 1
```

ii) VASP calculation (GGA-PBE) on an optimized crystal structure of HoTm3Au2.

```
data_HoTm3Au2
_cell_length_a 4.8987
_cell_length_b 8.8362
_cell_length_c 7.0497
_cell_angle_alpha 90.00
_cell_angle_beta 90.00
_cell_angle_gamma 90.00
_symmetry_space_group_name_H-M 'P m c 21'
_symmetry_Int_Tables_number 26
_symmetry_space_group_name_Hall 'P 2c -2'
loop_
_atom_site_label
_atom_site_fract_x
_atom_site_fract_y
_atom_site_fract_z
_atom_site_occupancy
Ho1 0.0000 0.0732 0.0000 1
Tm1 0.0000 0.3298 0.6345 1
Tm2 0.5000 0.1712 0.3372 1
Tm3 0.5000 0.4274 0.9715 1
Au1 0.0000 0.3503 0.2290 1
Au2 0.5000 0.1517 0.7430 1
```

Which one sits at the bottom of the stability order? i) does.

i) VASP calculation (GGA-PBE) on an optimized crystal structure of HoTmAu.

```
data_HoTmAu
_cell_length_a 7.0765
_cell_length_b 4.9100
_cell_length_c 8.8456
_cell_angle_alpha 90.00
_cell_angle_beta 90.00
_cell_angle_gamma 90.00
_symmetry_space_group_name_H-M 'P n m a'
_symmetry_Int_Tables_number 62
_symmetry_space_group_name_Hall '-P 2ac 2n'
loop_
_atom_site_label
_atom_site_fract_x
_atom_site_fract_y
_atom_site_fract_z
_atom_site_occupancy
Ho1 0.0143 0.2500 0.1769 1
Tm1 0.1484 0.2500 0.5794 1
Au1 0.2442 0.2500 0.9006 1
```

ii) VASP calculation (GGA-PBE) on an optimized crystal structure of HoTmAu.

```
data_HoTmAu
_cell_length_a 6.9680
_cell_length_b 6.9680
_cell_length_c 6.9680
_cell_angle_alpha 90.00
_cell_angle_beta 90.00
_cell_angle_gamma 90.00
_symmetry_space_group_name_H-M 'F -4 3 m'
_symmetry_Int_Tables_number 216
_symmetry_space_group_name_Hall 'F -4 2 3'
loop_
_atom_site_label
_atom_site_fract_x
_atom_site_fract_y
_atom_site_fract_z
_atom_site_occupancy
Ho1 0.0000 0.0000 0.0000 1
Tm1 0.0000 0.0000 0.5000 1
Au1 0.2500 0.2500 0.7500 1
```

Which one sits at the bottom of the stability order? ii) does.

i) VASP calculation (GGA-PBE) on an optimized crystal structure of HoTmAu.

```
data_HoTmAu
_cell_length_a 4.8732
_cell_length_b 4.8732
_cell_length_c 3.7631
_cell_angle_alpha 90.00
_cell_angle_beta 90.00
_cell_angle_gamma 120.00
_symmetry_space_group_name_H-M 'P 3 m 1'
_symmetry_Int_Tables_number 156
_symmetry_space_group_name_Hall 'P 3 -2"'
loop_
_atom_site_label
_atom_site_fract_x
_atom_site_fract_y
_atom_site_fract_z
_atom_site_occupancy
Ho1 0.0000 0.0000 0.0000 1
Tm1 0.3333 0.6667 0.5248 1
Au1 0.6667 0.3333 0.2786 1
```

ii) VASP calculation (GGA-PBE) on an optimized crystal structure of HoTmAu.

```
data_HoTmAu
_cell_length_a 6.9118
_cell_length_b 7.0442
_cell_length_c 6.7467
_cell_angle_alpha 90.00
_cell_angle_beta 90.17
_cell_angle_gamma 90.00
_symmetry_space_group_name_H-M 'P 1 21/c 1'
_symmetry_Int_Tables_number 14
_symmetry_space_group_name_Hall '-P 2ybc'
loop_
_atom_site_label
_atom_site_fract_x
_atom_site_fract_y
_atom_site_fract_z
_atom_site_occupancy
Ho1 0.1170 0.0819 0.2503 1
Tm1 0.4481 0.7504 0.9998 1
Au1 0.2792 0.0349 0.7487 1
```

iii) VASP calculation (GGA-PBE) on an optimized crystal structure of HoTmAu.

```
data_HoTmAu
_cell_length_a 4.9597
_cell_length_b 4.9597
_cell_length_c 22.2644
_cell_angle_alpha 90.00
_cell_angle_beta 90.00
_cell_angle_gamma 120.00
_symmetry_space_group_name_H-M 'R 3 m'
_symmetry_Int_Tables_number 160
_symmetry_space_group_name_Hall 'R 3 -2"'
loop_
_atom_site_label
_atom_site_fract_x
_atom_site_fract_y
_atom_site_fract_z
_atom_site_occupancy
Ho1 0.0000 0.0000 0.0000 1
Ho2 0.0000 0.0000 0.1628 1
Tm1 0.0000 0.0000 0.5802 1
Tm2 0.0000 0.0000 0.7432 1
Au1 0.0000 0.0000 0.2953 1
Au2 0.0000 0.0000 0.4469 1
```

Which one sits at the bottom of the stability order? i) does.

i) VASP calculation (GGA-PBE) on an optimized crystal structure of Ho2TmAu.

```
data_Ho2TmAu
_cell_length_a 6.8856
_cell_length_b 9.6330
_cell_length_c 6.6415
_cell_angle_alpha 90.00
_cell_angle_beta 90.00
_cell_angle_gamma 90.00
_symmetry_space_group_name_H-M 'P n m a'
_symmetry_Int_Tables_number 62
_symmetry_space_group_name_Hall '-P 2ac 2n'
loop_
_atom_site_label
_atom_site_fract_x
_atom_site_fract_y
_atom_site_fract_z
_atom_site_occupancy
Ho1 0.2000 0.0542 0.1980 1
Tm1 0.0145 0.2500 0.6138 1
Au1 0.0823 0.7500 0.9673 1
```

ii) VASP calculation (GGA-PBE) on an optimized crystal structure of Ho2TmAu.

```
data_Ho2TmAu
_cell_length_a 3.5552
_cell_length_b 3.5552
_cell_length_c 8.6051
_cell_angle_alpha 90.00
_cell_angle_beta 90.00
_cell_angle_gamma 90.00
_symmetry_space_group_name_H-M 'P 4/m m m'
_symmetry_Int_Tables_number 123
_symmetry_space_group_name_Hall '-P 4 2'
loop_
_atom_site_label
_atom_site_fract_x
_atom_site_fract_y
_atom_site_fract_z
_atom_site_occupancy
Ho1 0.0000 0.0000 0.2092 1
Tm1 0.5000 0.5000 0.5000 1
Au1 0.5000 0.5000 0.0000 1
```

Which one sits at the bottom of the stability order? ii) does.